1.
DFT (PBE) results for Pm2PrNd3Te6 after structural relaxation.

Cell: 4.472 9.035 10.037 Å, 102.85 102.87 90.00°
Fractional coordinates of all 12 atoms:
Pm (0.834, 0.668, 0.668)
Pm (0.166, 0.332, 0.332)
Pr (0.500, 0.000, 0.000)
Nd (0.500, 0.500, 0.000)
Nd (0.835, 0.168, 0.670)
Nd (0.165, 0.832, 0.330)
Te (0.332, 0.915, 0.664)
Te (0.668, 0.581, 0.335)
Te (0.668, 0.085, 0.336)
Te (0.001, 0.252, 0.002)
Te (0.999, 0.748, 0.998)
Te (0.332, 0.419, 0.665)

Uncorrected formation energy, eV/atom: -1.42
Magnetization, μB/cell: 0.00



2.
DFT (PBE) results for PmLuBePd after structural relaxation.

Cell: 4.934 4.934 4.934 Å, 60.00 60.00 60.00°
Fractional coordinates of all 4 atoms:
Be (0.500, 0.500, 0.500)
Lu (0.750, 0.750, 0.750)
Pd (0.000, 0.000, 0.000)
Pm (0.250, 0.250, 0.250)

E_form, eV/f.u.: -1.3
Magnetization, μB/cell: 0.00



3.
DFT (PBE) results for PmNd2ThBi5 after structural relaxation.

Cell: 5.731 5.731 12.075 Å, 90.00 90.00 90.00°
Fractional coordinates of all 9 atoms:
Pm (0.000, 0.000, 0.000)
Nd (0.500, 0.500, 0.274)
Nd (0.500, 0.500, 0.726)
Th (0.000, 0.000, 0.500)
Bi (0.000, 0.500, 0.500)
Bi (0.500, 0.000, 0.500)
Bi (0.000, 0.000, 0.755)
Bi (0.000, 0.000, 0.245)
Bi (0.500, 0.500, 0.000)

E_form, eV/f.u.: 0.3
Magnetization, μB/cell: 0.00



4.
DFT (PBE) results for CaGa4Ag6 after structural relaxation.

Cell: 6.892 6.892 6.892 Å, 87.80 121.28 121.28°
Fractional coordinates of all 11 atoms:
Ca (0.000, 0.000, 0.000)
Ga (0.000, 0.256, 0.576)
Ga (0.680, 0.424, 0.424)
Ga (0.000, 0.576, 0.256)
Ga (0.320, 0.744, 0.744)
Ag (0.000, 0.902, 0.489)
Ag (0.000, 0.489, 0.902)
Ag (0.587, 0.098, 0.098)
Ag (0.500, 0.000, 0.500)
Ag (0.413, 0.511, 0.511)
Ag (0.500, 0.500, 0.000)

Energy above the most stable polymorph in this dataset, kJ per mole of atoms: 8.6
E_form, eV/f.u.: -0.5
Magnetization, μB/cell: 0.00



5.
DFT (PBE) results for SnAsIr3 after structural relaxation.

Cell: 4.639 4.639 4.639 Å, 90.00 90.00 90.00°
Fractional coordinates of all 5 atoms:
As (0.000, 0.000, 0.000)
Ir (0.000, 0.500, 0.000)
Ir (0.000, 0.000, 0.500)
Ir (0.500, 0.000, 0.000)
Sn (0.500, 0.500, 0.500)

Energy above the most stable polymorph in this dataset, kJ per mole of atoms: 0.0
E_form, eV/f.u.: 4.4
Magnetization, μB/cell: 0.00



6.
DFT (PBE) results for ScZn2Co2 after structural relaxation.

Cell: 6.836 6.836 2.965 Å, 90.00 90.00 90.00°
Fractional coordinates of all 10 atoms:
Sc (0.000, 0.000, 0.000)
Sc (0.500, 0.500, 0.000)
Zn (0.152, 0.652, 0.500)
Zn (0.652, 0.848, 0.500)
Zn (0.848, 0.348, 0.500)
Zn (0.348, 0.152, 0.500)
Co (0.357, 0.857, 0.000)
Co (0.857, 0.643, 0.000)
Co (0.643, 0.143, 0.000)
Co (0.143, 0.357, 0.000)

Energy above the most stable polymorph in this dataset, kJ per mole of atoms: 0.0
E_form, eV/f.u.: -0.5
Magnetization, μB/cell: 0.00



7.
DFT (PBE) results for Al2RhSe after structural relaxation.

Cell: 6.375 4.571 3.128 Å, 89.92 60.75 122.02°
Fractional coordinates of all 4 atoms:
Rh (0.000, 0.500, 0.500)
Al (0.000, 0.000, 0.000)
Al (0.500, 0.000, 0.500)
Se (0.500, 0.500, 0.000)

Uncorrected formation energy, eV/atom: -0.30
Magnetization, μB/cell: 0.00



8.
DFT (PBE) results for Li2MgTaO4 after structural relaxation.

Cell: 4.161 4.161 5.373 Å, 112.78 112.78 90.00°
Fractional coordinates of all 8 atoms:
Li (0.250, 0.750, 0.500)
Li (0.000, 0.000, 0.000)
Mg (0.750, 0.250, 0.500)
Ta (0.500, 0.500, 0.000)
O (0.992, 0.492, 0.984)
O (0.508, 0.008, 0.016)
O (0.728, 0.728, 0.455)
O (0.272, 0.272, 0.545)

Uncorrected formation energy, eV/atom: -2.40
Magnetization, μB/cell: 0.52



9.
DFT (PBE) results for Tm8Tl2Sb after structural relaxation.

Cell: 5.625 8.395 8.395 Å, 118.17 101.76 101.76°
Fractional coordinates of all 11 atoms:
Tm (0.876, 0.904, 0.676)
Tm (0.876, 0.676, 0.904)
Tm (0.298, 0.600, 0.600)
Tm (0.500, 0.782, 0.218)
Tm (0.500, 0.218, 0.782)
Tm (0.702, 0.400, 0.400)
Tm (0.124, 0.324, 0.096)
Tm (0.124, 0.096, 0.324)
Tl (0.000, 0.304, 0.696)
Tl (0.000, 0.696, 0.304)
Sb (0.500, 0.000, 0.000)

Uncorrected formation energy, eV/atom: -0.15
Magnetization, μB/cell: 0.35



10.
DFT (PBE) results for CdHgP2 after structural relaxation.

Cell: 3.842 4.771 5.210 Å, 77.25 90.00 90.00°
Fractional coordinates of all 4 atoms:
Cd (0.500, 0.250, 0.250)
Hg (0.500, 0.750, 0.750)
P (0.000, 0.928, 0.083)
P (0.000, 0.572, 0.417)

Energy above the most stable polymorph in this dataset, kJ per mole of atoms: 11.3
E_form, eV/f.u.: 0.7
Magnetization, μB/cell: 0.00



11.
DFT (PBE) results for Ho2TcHgC after structural relaxation.

Cell: 3.998 4.963 4.963 Å, 90.00 90.00 90.00°
Fractional coordinates of all 5 atoms:
Ho (0.000, 0.000, 0.500)
Ho (0.000, 0.500, 0.000)
Tc (0.500, 0.000, 0.000)
Hg (0.500, 0.500, 0.500)
C (0.000, 0.000, 0.000)

E_form, eV/f.u.: -1.9
Magnetization, μB/cell: 0.00



12.
DFT (PBE) results for MnBiTeN2 after structural relaxation.

Cell: 4.250 4.250 6.682 Å, 90.00 90.00 90.00°
Fractional coordinates of all 5 atoms:
Te (0.000, 0.000, 0.500)
Bi (0.000, 0.000, 0.000)
Mn (0.500, 0.500, 0.500)
N (0.000, 0.500, 0.000)
N (0.500, 0.000, 0.000)

Uncorrected formation energy, eV/atom: 1.56
Energy above the most stable polymorph in this dataset, kJ per mole of atoms: 48.6
Magnetization, μB/cell: 3.74



Number 1: energy -5.374 eV per atom. Number 2: energy -4.871 eV per atom. Number 3: energy -4.534 eV per atom. Number 4: energy -2.884 eV per atom. Number 5: energy -6.158 eV per atom. Number 6: energy -4.727 eV per atom. Number 7: energy -4.883 eV per atom. Number 8: energy -7.036 eV per atom. Number 9: energy -4.211 eV per atom. Number 10: energy -2.843 eV per atom. Number 11: energy -6.185 eV per atom. Number 12: energy -5.008 eV per atom.